Record 1
## Sb7C6 (PBE)

Data for Sb7C6 after structural relaxation.

Unit cell a=6.982 b=6.982 c=6.982 alpha=77.15 beta=77.15 gamma=77.15
Sites, in units of the cell vectors:
Sb 0.651 0.651 0.008
Sb 0.349 0.349 0.992
Sb 0.500 0.500 0.500
Sb 0.651 0.008 0.651
Sb 0.008 0.651 0.651
Sb 0.992 0.349 0.349
Sb 0.349 0.992 0.349
C 0.043 0.043 0.043
C 0.136 0.136 0.136
C 0.864 0.864 0.864
C 0.957 0.957 0.957
C 0.328 0.328 0.328
C 0.672 0.672 0.672

- Crystal system: trigonal
- DFT total energy: -5.34 eV/atom
- Size of the total moment: 0.00 μB/f.u.

=====

Record 2
## ZrInPd4 (PBE)

Data for ZrInPd4 after structural relaxation.

Unit cell a=3.801 b=5.084 c=6.562 alpha=104.60 beta=73.16 gamma=68.05
Sites, in units of the cell vectors:
Pd 0.665 0.997 0.673
Pd 0.828 0.507 0.837
Pd 0.335 0.003 0.327
Pd 0.172 0.493 0.163
In 0.500 0.500 0.500
Zr 0.000 0.000 0.000

- Crystal system: monoclinic
- DFT total energy: -5.96 eV/atom
- Size of the total moment: 0.00 μB/f.u.
- Formation energy: -3.68 eV/f.u.

=====

Fermi-level density of states, respectively: 7.77; 2.56 states/eV/cell.